No. 1
Compound: ZrBe2Hg
Source: Alexandria via LeMat-Bulk
Functional: GGA-PBE
Structure: relaxed

Structure (CIF):
```
data_ZrBe2Hg
_space_group_name_H-M_alt 'P 1'
_space_group_IT_number 1
_cell_length_a 2.954
_cell_length_b 2.955
_cell_length_c 6.954
_cell_angle_alpha 90.00
_cell_angle_beta 90.00
_cell_angle_gamma 90.00
loop_
_space_group_symop_operation_xyz
'x,y,z'
loop_
_atom_site_label
_atom_site_fract_x
_atom_site_fract_y
_atom_site_fract_z
Hg1 0.000 0.000 0.453
Be1 0.000 0.000 0.055
Be2 0.500 0.500 0.196
Zr1 0.500 0.500 0.796
```

Density, kg/m³: 8475
Symmetry: No. 99
Size of the total moment, μB per formula unit: 0.00
Formation enthalpy at 0 K, eV per atom: 0.10



No. 2
Compound: ZrBe2Hg
Source: Alexandria via LeMat-Bulk
Functional: GGA-PBE
Structure: relaxed

Structure (CIF):
```
data_ZrBe2Hg
_space_group_name_H-M_alt 'P 1'
_space_group_IT_number 1
_cell_length_a 4.952
_cell_length_b 4.952
_cell_length_c 4.952
_cell_angle_alpha 47.72
_cell_angle_beta 47.72
_cell_angle_gamma 47.72
loop_
_space_group_symop_operation_xyz
'x,y,z'
loop_
_atom_site_label
_atom_site_fract_x
_atom_site_fract_y
_atom_site_fract_z
Zr1 0.750 0.750 0.750
Be1 0.537 0.537 0.537
Be2 0.963 0.963 0.963
Hg1 0.250 0.250 0.250
```

Density, kg/m³: 8453
Symmetry: No. 166
Size of the total moment, μB per formula unit: 0.00
Formation enthalpy at 0 K, eV per atom: 0.05



No. 3
Compound: ZrBe4Hg
Source: Alexandria via LeMat-Bulk
Functional: GGA-PBE
Structure: relaxed

Structure (CIF):
```
data_ZrBe4Hg
_space_group_name_H-M_alt 'P 1'
_space_group_IT_number 1
_cell_length_a 4.794
_cell_length_b 4.794
_cell_length_c 4.794
_cell_angle_alpha 60.00
_cell_angle_beta 60.00
_cell_angle_gamma 60.00
loop_
_space_group_symop_operation_xyz
'x,y,z'
loop_
_atom_site_label
_atom_site_fract_x
_atom_site_fract_y
_atom_site_fract_z
Be1 0.366 0.903 0.366
Be2 0.366 0.366 0.366
Be3 0.366 0.366 0.903
Be4 0.903 0.366 0.366
Zr1 0.000 0.000 0.000
Hg1 0.750 0.750 0.750
```

Density, kg/m³: 6989
Symmetry: No. 216
Size of the total moment, μB per formula unit: 0.00
Formation enthalpy at 0 K, eV per atom: 0.18



> Look up the density of the second one.

8453 kg/m³



Repeat the second record exactly.
Compound: ZrBe2Hg
Source: Alexandria via LeMat-Bulk
Functional: GGA-PBE
Structure: relaxed

Structure (CIF):
```
data_ZrBe2Hg
_space_group_name_H-M_alt 'P 1'
_space_group_IT_number 1
_cell_length_a 4.952
_cell_length_b 4.952
_cell_length_c 4.952
_cell_angle_alpha 47.72
_cell_angle_beta 47.72
_cell_angle_gamma 47.72
loop_
_space_group_symop_operation_xyz
'x,y,z'
loop_
_atom_site_label
_atom_site_fract_x
_atom_site_fract_y
_atom_site_fract_z
Zr1 0.750 0.750 0.750
Be1 0.537 0.537 0.537
Be2 0.963 0.963 0.963
Hg1 0.250 0.250 0.250
```

Density, kg/m³: 8453
Symmetry: No. 166
Size of the total moment, μB per formula unit: 0.00
Formation enthalpy at 0 K, eV per atom: 0.05